Computed, not measured: a geometry-optimized CeBrCl structure at the GGA-PBE level of DFT.

Properties
D(E_F), states/eV/f.u.: 4.04
Volume, Å³/f.u.: 91
Uncorrected formation energy, eV/atom: -1.78

a b c (Å): 5.1251 5.1294 7.3644
angles (deg): 90.00 109.88 90.00
With the nearest neighbours (Å) after each atom.
Element x y z (fractional)
Cl 0.6419 0.7500 0.2788  4 Ce 2.99
Cl 0.3581 0.2500 0.7212  4 Ce 2.99
Br 0.1218 0.2500 0.2373  4 Ce 3.14, 1 Cl 3.35
Ce 0.7500 0.2500 0.5000  4 Cl 2.99, 4 Br 3.14
Br 0.8782 0.7500 0.7627  4 Ce 3.14, 1 Cl 3.35
Ce 0.2500 0.7500 0.5000  4 Cl 2.99, 4 Br 3.14